No. 1
{
  "formula": "MgCu2Se2",
  "functional": "PBE-GGA",
  "state": "optimized geometry",
  "lattice": [[-6.3987, -0.6425, 2.8793], [-0.4739, -6.5637, -2.5179], [1.4297, -1.2178, 2.9054]],
  "species": ["Cu", "Cu", "Cu", "Cu", "Mg", "Mg", "Se", "Se", "Se", "Se"],
  "frac_coords": [[0.6224, 0.8776, 0.0000], [0.8776, 0.3776, 0.0000], [0.1224, 0.6224, 0.0000], [0.3776, 0.1224, 0.0000], [0.5000, 0.5000, 0.0000], [0.0000, 0.0000, 0.0000], [0.8110, 0.6890, 0.5000], [0.6890, 0.1890, 0.5000], [0.3110, 0.8110, 0.5000], [0.1890, 0.3110, 0.5000]],
  "mass_density_g_cm3": 5.981,
  "vol_a3_per_atom": 17.18,
  "relative_energy_mev_per_atom": 370,
  "dos_at_fermi_per_ev_atom": 0.391,
  "total_energy_ev_per_atom": -3.490
}



No. 2
{
  "formula": "InBi2Sb",
  "functional": "PBE-GGA",
  "state": "optimized geometry",
  "lattice": [[-2.8015, 3.1427, -1.4574], [-4.3675, -0.8466, -0.2398], [-3.2568, 3.2491, 6.4572]],
  "species": ["Bi", "Bi", "Sb", "In"],
  "frac_coords": [[0.2494, 0.2494, 0.2517], [0.7506, 0.7506, 0.7483], [0.0000, 0.0000, 0.0000], [0.5000, 0.5000, 0.5000]],
  "mass_density_g_cm3": 8.431,
  "vol_a3_per_atom": 32.23,
  "relative_energy_mev_per_atom": 0,
  "dos_at_fermi_per_ev_atom": 0.551,
  "total_energy_ev_per_atom": -3.576
}



No. 3
{
  "formula": "CuSIO",
  "functional": "PBE-GGA",
  "state": "optimized geometry",
  "lattice": [[6.1268, -0.0706, -0.1427], [-1.3209, 5.7043, -0.2106], [0.2791, -2.5229, 6.2231]],
  "species": ["S", "S", "Cu", "Cu", "O", "O", "I", "I"],
  "frac_coords": [[0.2114, 0.8114, 0.2686], [0.3361, 0.1828, 0.6623], [0.3115, 0.9776, 0.8683], [0.6507, 0.4624, 0.7079], [0.1965, 0.9696, 0.1442], [0.3963, 0.6846, 0.2170], [0.7221, 0.9427, 0.8324], [0.0566, 0.4632, 0.6225]],
  "mass_density_g_cm3": 3.712,
  "vol_a3_per_atom": 26.68,
  "relative_energy_mev_per_atom": 68,
  "dos_at_fermi_per_ev_atom": 0.000,
  "total_energy_ev_per_atom": -4.065
}



No. 4
{
  "formula": "MgCN2O",
  "functional": "PBE-GGA",
  "state": "optimized geometry",
  "lattice": [[2.9038, 0.0000, 0.0000], [0.0000, 2.9038, 0.0000], [0.0000, 0.0000, 6.8880]],
  "species": ["C", "Mg", "O", "N", "N"],
  "frac_coords": [[0.0000, 0.0000, 0.0000], [0.5000, 0.5000, 0.5000], [0.0000, 0.0000, 0.5000], [0.5000, 0.0000, 0.0000], [0.0000, 0.5000, 0.0000]],
  "mass_density_g_cm3": 2.297,
  "vol_a3_per_atom": 11.62,
  "dos_at_fermi_per_ev_atom": 0.379,
  "total_energy_ev_per_atom": -5.796
}



No. 5
{
  "formula": "Pm3SmDy3",
  "functional": "PBE-GGA",
  "state": "optimized geometry",
  "lattice": [[-0.5145, 3.6510, 8.0970], [7.2189, 3.2100, 4.0913], [1.1250, 8.7422, 1.2096]],
  "species": ["Dy", "Dy", "Dy", "Dy", "Dy", "Dy", "Sm", "Sm", "Pm", "Pm", "Pm", "Pm", "Pm", "Pm"],
  "frac_coords": [[0.0626, 0.2865, 0.8260], [0.7135, 0.1740, 0.9374], [0.9374, 0.7135, 0.1740], [0.8260, 0.0626, 0.2865], [0.2865, 0.8260, 0.0626], [0.1740, 0.9374, 0.7135], [0.6544, 0.6544, 0.6544], [0.3456, 0.3456, 0.3456], [0.7200, 0.5666, 0.0693], [0.2800, 0.4334, 0.9307], [0.5666, 0.0693, 0.7200], [0.4334, 0.9307, 0.2800], [0.0693, 0.7200, 0.5666], [0.9307, 0.2800, 0.4334]],
  "formation_energy_ev_per_atom": 0.204,
  "mass_density_g_cm3": 7.376,
  "vol_a3_per_atom": 34.51,
  "relative_energy_mev_per_atom": 0,
  "dos_at_fermi_per_ev_atom": 1.484,
  "total_energy_ev_per_atom": -4.478
}



No. 6
{
  "formula": "Ac2LaThPt4",
  "functional": "PBE-GGA",
  "state": "optimized geometry",
  "lattice": [[4.2956, 0.0000, 0.0000], [0.0000, 7.4647, 0.1367], [0.0000, -2.6023, 7.0039]],
  "species": ["Ac", "Ac", "Pt", "Pt", "Pt", "Pt", "La", "Th"],
  "frac_coords": [[0.5000, 0.0000, 0.5000], [0.0000, 0.5000, 0.5000], [0.5000, 0.7477, 0.7641], [0.0000, 0.7379, 0.2322], [0.5000, 0.2523, 0.2359], [0.0000, 0.2621, 0.7678], [0.0000, 0.0000, 0.0000], [0.5000, 0.5000, 0.0000]],
  "formation_energy_ev_per_atom": -1.195,
  "mass_density_g_cm3": 11.789,
  "vol_a3_per_atom": 28.26,
  "dos_at_fermi_per_ev_atom": 0.429,
  "total_energy_ev_per_atom": -6.786
}



No. 7
{
  "formula": "Cs3InAu3",
  "functional": "PBE-GGA",
  "state": "optimized geometry",
  "lattice": [[-1.4337, 4.9536, -0.3276], [-0.7103, 2.0337, -6.8927], [-16.1708, -2.0082, -0.3500]],
  "species": ["Au", "Au", "Au", "Au", "Au", "Au", "In", "In", "Cs", "Cs", "Cs", "Cs", "Cs", "Cs"],
  "frac_coords": [[0.9283, 0.9034, 0.2401], [0.9053, 0.1121, 0.0773], [0.8153, 0.8194, 0.5500], [0.0717, 0.0966, 0.7599], [0.1847, 0.1806, 0.4500], [0.0947, 0.8879, 0.9227], [0.7631, 0.0717, 0.4022], [0.2369, 0.9283, 0.5978], [0.4021, 0.2749, 0.9210], [0.5177, 0.3482, 0.6164], [0.2488, 0.2802, 0.2221], [0.5979, 0.7251, 0.0790], [0.7512, 0.7198, 0.7779], [0.4823, 0.6518, 0.3836]],
  "formation_energy_ev_per_atom": -0.287,
  "mass_density_g_cm3": 6.544,
  "vol_a3_per_atom": 40.04,
  "dos_at_fermi_per_ev_atom": 0.468,
  "total_energy_ev_per_atom": -2.449
}



No. 8
{
  "formula": "CaLa2Mg",
  "functional": "PBE-GGA",
  "state": "optimized geometry",
  "lattice": [[3.5458, 0.0329, 0.0000], [-1.1153, 3.3659, 0.0000], [0.0000, 0.0000, 11.7505]],
  "species": ["La", "La", "Mg", "Ca"],
  "frac_coords": [[0.0000, 0.0000, 0.4795], [0.0000, 0.0000, 0.0205], [0.5000, 0.5000, 0.2500], [0.5000, 0.5000, 0.7500]],
  "formation_energy_ev_per_atom": 0.079,
  "mass_density_g_cm3": 4.039,
  "vol_a3_per_atom": 35.17,
  "dos_at_fermi_per_ev_atom": 1.274,
  "total_energy_ev_per_atom": -3.284
}



No. 9
{
  "formula": "MnAgSbTe2",
  "functional": "PBE-GGA",
  "state": "optimized geometry",
  "lattice": [[-0.6447, -5.0425, 0.3766], [2.1447, 0.0712, 4.6238], [-4.4325, 0.7194, 2.0449]],
  "species": ["Mn", "Ag", "Sb", "Te", "Te"],
  "frac_coords": [[0.0000, 0.0000, 0.0000], [0.5000, 0.5000, 0.5000], [0.0000, 0.0000, 0.5000], [0.5000, 0.0000, 0.0000], [0.0000, 0.5000, 0.0000]],
  "mass_density_g_cm3": 6.991,
  "vol_a3_per_atom": 25.64,
  "relative_energy_mev_per_atom": 0,
  "dos_at_fermi_per_ev_atom": 0.725,
  "total_energy_ev_per_atom": -4.033
}



No. 10
{
  "formula": "Rb2PaF8",
  "functional": "PBE-GGA",
  "state": "optimized geometry",
  "lattice": [[4.1235, 0.0000, 0.0000], [-2.0618, 6.7564, -1.4779], [0.0000, 0.0448, 9.2795]],
  "species": ["F", "F", "F", "F", "F", "F", "F", "F", "Pa", "Rb", "Rb"],
  "frac_coords": [[0.5371, 0.0742, 0.7929], [0.0568, 0.1136, 0.1150], [0.3413, 0.6826, 0.9449], [0.4629, 0.9258, 0.2071], [0.7588, 0.5176, 0.4587], [0.2412, 0.4824, 0.5413], [0.6587, 0.3174, 0.0551], [0.9432, 0.8864, 0.8850], [0.5000, 0.0000, 0.0000], [0.7336, 0.4671, 0.7371], [0.2664, 0.5329, 0.2629]],
  "mass_density_g_cm3": 3.554,
  "vol_a3_per_atom": 23.53,
  "relative_energy_mev_per_atom": 0,
  "dos_at_fermi_per_ev_atom": 0.012,
  "total_energy_ev_per_atom": -5.498
}



No. 11
{
  "formula": "AcNd3Ho7",
  "functional": "PBE-GGA",
  "state": "optimized geometry",
  "lattice": [[8.7973, 0.0000, 0.0000], [0.0000, 7.1251, 0.0000], [0.0000, -3.5625, 6.1705]],
  "species": ["Ho", "Ho", "Ho", "Ho", "Ho", "Ho", "Ho", "Nd", "Nd", "Nd", "Ac"],
  "frac_coords": [[0.4442, 0.3353, 0.1677], [0.4442, 0.8323, 0.6647], [0.1174, 0.1660, 0.3319], [0.4442, 0.8323, 0.1677], [0.1174, 0.6681, 0.8340], [0.1228, 0.6667, 0.3333], [0.1174, 0.1660, 0.8340], [0.7876, 0.9976, 0.4988], [0.7876, 0.5012, 0.4988], [0.7876, 0.5012, 0.0024], [0.4448, 0.3333, 0.6667]],
  "formation_energy_ev_per_atom": 0.200,
  "mass_density_g_cm3": 7.789,
  "vol_a3_per_atom": 35.16,
  "dos_at_fermi_per_ev_atom": 1.585,
  "total_energy_ev_per_atom": -4.387
}



No. 12
{
  "formula": "HoP3Ru4",
  "functional": "PBE-GGA",
  "state": "optimized geometry",
  "lattice": [[4.0220, 0.0000, 0.0000], [0.0000, 4.0220, 0.0000], [0.0000, 0.0000, 7.5039]],
  "species": ["P", "P", "P", "Ru", "Ru", "Ru", "Ru", "Ho"],
  "frac_coords": [[0.0000, 0.0000, 0.0000], [0.5000, 0.5000, 0.6619], [0.5000, 0.5000, 0.3381], [0.0000, 0.5000, 0.8126], [0.5000, 0.0000, 0.1874], [0.0000, 0.5000, 0.1874], [0.5000, 0.0000, 0.8126], [0.0000, 0.0000, 0.5000]],
  "formation_energy_ev_per_atom": -0.798,
  "mass_density_g_cm3": 9.058,
  "vol_a3_per_atom": 15.17,
  "dos_at_fermi_per_ev_atom": 0.487,
  "total_energy_ev_per_atom": -8.037
}